(1)
Below is KSr3Ga after structural relaxation, with properties calculated at the PBE level.

```
5
Lattice="6.389 0.000 0.000 0.000 6.389 0.000 0.000 0.000 6.389" Properties=species:S:1:pos:R:3 pbc="T T T"
K 0.000 0.000 0.000
Sr 0.000 3.194 3.194
Sr 3.194 0.000 3.194
Sr 3.194 3.194 0.000
Ga 3.194 3.194 3.194
```

Summary:
Energy relative to the elements, eV/atom: -0.075

=====

(2)
Below is BaAl2Cd after structural relaxation, with properties calculated at the PBE level.

```
4
Lattice="3.551 0.000 0.000 0.000 4.562 0.000 -1.636 0.000 6.903" Properties=species:S:1:pos:R:3 pbc="T T T"
Ba 0.000 0.000 0.000
Al 0.006 2.281 4.639
Al 1.910 2.281 2.264
Cd 0.958 0.000 3.452
```

Summary:
Energy relative to the elements, eV/atom: 0.004

=====

(3)
Below is NpSnH6Ru2 after structural relaxation, with properties calculated at the PBE level.

```
10
Lattice="2.245 1.296 5.591 -2.245 1.296 5.591 0.000 -2.592 5.591" Properties=species:S:1:pos:R:3 pbc="T T T"
Np 0.000 0.000 0.000
Sn 0.000 0.000 8.386
H -1.158 -0.669 6.455
H 0.000 -1.338 10.318
H -1.158 0.669 10.318
H 1.158 -0.669 6.455
H 0.000 1.338 6.455
H 1.158 0.669 10.317
Ru 0.000 0.000 3.628
Ru 0.000 0.000 13.145
```

=====

Number 1: E_tot -1.9087 eV per atom, magnetic moment 0.00 μB per formula unit. Number 2: E_tot -2.5764 eV per atom, magnetic moment 0.00 μB per formula unit. Number 3: E_tot -5.6583 eV per atom, magnetic moment 3.29 μB per formula unit.